DFT (GGA+U) results for a relaxed structure of MnBrN2O.

Cell lengths 3.8885, 3.8885, 3.5840 Å; angles 90.00, 90.00, 90.00 degrees
Space group P4/mmm (No. 123)
Symmetry-distinct sites (fractional):
Mn: 0.0000 0.0000 0.0000 (multiplicity 1)
Br: 0.5000 0.5000 0.5000 (multiplicity 1)
N: 0.0000 0.5000 0.0000 (multiplicity 2)
O: 0.0000 0.0000 0.5000 (multiplicity 1)

D(E_F) in states/eV per cell: 4.97
Magnetic moment in μB/atom: 0.002
Energy in eV per formula unit: -23.46